Entry 1:
# K2HfF6

An optimized crystal structure of K2HfF6 (PBE, OQMD).

```
K2HfF6
1.0
3.197 -5.534 0.000
3.197 5.534 0.000
0.000 0.000 6.702
K Hf F
4 2 12
Cartesian
3.197 3.833 3.363
3.197 3.833 6.689
3.197 -3.833 0.013
3.197 -3.833 3.338
3.197 0.598 1.675
3.197 -0.598 5.026
1.951 2.269 1.675
1.295 0.092 5.026
1.295 -0.092 1.675
3.197 1.143 3.691
3.197 1.143 6.362
4.443 2.269 1.675
1.951 -2.269 5.026
3.197 -1.143 0.340
3.197 -1.143 3.011
5.099 0.092 5.026
5.099 -0.092 1.675
4.443 -2.269 5.026
```

Properties
space group = Cmcm (63)



Entry 2:
# Tb3PrS6

An optimized crystal structure of Tb3PrS6 (PBE, OQMD).

```
Tb3PrS6
1.0
11.123 0.000 0.000
0.000 4.016 0.000
-3.641 0.000 10.813
Tb Pr S
6 2 12
Cartesian
0.059 1.004 1.815
0.176 3.012 5.432
0.443 1.004 9.879
7.039 3.012 0.934
7.306 1.004 5.381
7.423 3.012 8.998
3.909 1.004 3.312
3.573 3.012 7.501
-1.169 1.004 4.204
-2.267 1.004 10.167
1.640 3.012 2.952
0.653 3.012 8.123
2.300 1.004 5.807
4.298 3.012 1.025
3.184 1.004 9.788
5.182 3.012 5.006
6.830 1.004 2.690
5.842 1.004 7.861
9.750 3.012 0.646
8.651 3.012 6.609
```

Properties
space group = P2_1/m (11)



Entry 3:
# BaFeAs3

An optimized crystal structure of BaFeAs3 (PBE, OQMD).

```
BaFeAs3
1.0
2.657 -8.173 0.000
2.657 8.173 0.000
0.000 0.000 5.967
Ba Fe As
2 2 6
Cartesian
2.657 6.397 4.475
2.657 -6.397 1.492
2.657 1.594 4.475
2.657 -1.594 1.492
1.210 3.358 4.475
1.210 -3.358 1.492
2.657 0.000 0.000
2.657 0.000 2.984
4.104 3.358 4.475
4.104 -3.358 1.492
```

Properties
space group = Cmcm (63)



Entry 4:
# HoEr2Co2Sn4

An optimized crystal structure of HoEr2Co2Sn4 (PBE, OQMD).

```
HoEr2Co2Sn4
1.0
5.555 -2.222 0.000
5.555 2.222 0.000
-2.403 0.000 8.101
Ho Er Co Sn
1 2 2 4
Cartesian
0.000 0.000 0.000
3.340 0.000 2.561
5.367 0.000 5.540
1.895 0.000 4.961
6.812 0.000 3.139
0.047 0.000 3.154
1.105 0.000 7.409
7.603 0.000 0.691
8.660 0.000 4.946
```

Properties
space group = C2/m (12)



Result set for V: 237 483 259 200 Å³ per cell, one per record in the order listed.
Result set for DFT total energy: -108.19 -128.63 -51.72 -48.52 eV/cell, one per record in the order listed.